Entry 1:
This record from the Alexandria database describes a relaxed ZrCuAg2 crystal. The functional is GGA-PBEsol.

The energy above the most stable polymorph in this dataset comes out at 118 meV per atom. Its total moment is 0.000 μB/cell. The theoretical density is 9.2 g cm⁻³. As for the formation energy: 0.10 eV/atom.

It has space group R-3m (No. 166, hexagonal axes), with a = 2.8898 Å, b = 2.8898 Å, c = 27.6630 Å, α = 90.00°, β = 90.00° and γ = 120.00°. Symmetry generates all atoms from Zr at (0.0000, 0.0000, 0.0000), Cu at (0.0000, 0.0000, 0.5000) and Ag at (0.0000, 0.0000, 0.2419).

---

Entry 2:
This record from the Alexandria database describes a relaxed DyErAg2 crystal. The functional is GGA-PBEsol.

Its total moment is 0.000 μB/cell. The theoretical density is 10.1 g cm⁻³. As for the formation energy: -0.34 eV/atom.

It has space group Fm-3m (No. 225), with a = 7.102 Å, b = 7.102 Å, c = 7.102 Å, α = 90.00°, β = 90.00° and γ = 90.00°. Symmetry generates all atoms from Dy at (0.000, 0.000, 0.000), Er at (0.000, 0.000, 0.500) and Ag at (0.250, 0.250, 0.250).

---

Entry 3:
This record from the Alexandria database describes a relaxed DyGaAg crystal. The functional is GGA-PBEsol.

Its total moment is 0.000 μB/cell. The theoretical density is 9.3 g cm⁻³. As for the formation energy: -0.53 eV/atom.

It has space group C2/m (No. 12), with a = 10.262 Å, b = 4.480 Å, c = 7.048 Å, α = 90.00°, β = 131.74° and γ = 90.00°. Symmetry generates all atoms from Dy at (0.035, 0.000, 0.292), Ga at (0.159, 0.500, 0.115) and Ag at (0.173, 0.500, 0.722).

---

Entry 4:
This record from the Alexandria database describes a relaxed DyAgGe crystal. The functional is GGA-PBEsol.

Its total moment is 0.000 μB/cell. The theoretical density is 9.6 g cm⁻³. As for the formation energy: -0.71 eV/atom.

It has space group P-62m (No. 189), with a = 7.0204 Å, b = 7.0204 Å, c = 4.1647 Å, α = 90.00°, β = 90.00° and γ = 120.00°. Symmetry generates all atoms from Dy at (0.0000, 0.4178, 0.0000), Ag at (0.0000, 0.7503, 0.5000), Ge at (0.0000, 0.0000, 0.0000) and Ge at (0.3333, 0.6667, 0.5000).